1.
Entry from the Alexandria database: crystalline Pm2Y4Ho3 at its relaxed geometry (PBE).

Cell: 6.1548 11.3022 11.3022 Å, 61.95 62.00 62.00°
Sites, in units of the cell vectors:
Ho1 0.2500 0.5953 0.4047
Ho2 0.7599 0.0674 0.2636
Ho3 0.7500 0.4047 0.5953
Ho4 0.2599 0.2636 0.0674
Ho5 0.2401 0.9326 0.7364
Ho6 0.7401 0.7364 0.9326
Y1 0.5794 0.0946 0.8117
Y2 0.9206 0.1883 0.9054
Y3 0.4206 0.9054 0.1883
Y4 0.9207 0.8515 0.5768
Y5 0.5793 0.4232 0.1485
Y6 0.0793 0.1485 0.4232
Y7 0.4207 0.5768 0.8515
Y8 0.0794 0.8117 0.0946
Pm1 0.0804 0.4763 0.7666
Pm2 0.4196 0.2334 0.5237
Pm3 0.9196 0.5237 0.2334
Pm4 0.5804 0.7666 0.4763

Computed properties:
As for the total energy: -5.36 eV per atom.



2.
Entry from the Alexandria database: crystalline Pm12Y7Ho at its relaxed geometry (PBE).

Cell: 8.8204 8.8204 8.8204 Å, 88.13 88.13 88.13°
Sites, in units of the cell vectors:
Pm1 0.8527 0.2592 0.7277
Pm2 0.4910 0.6147 0.1385
Pm3 0.7408 0.2723 0.1473
Pm4 0.7277 0.8527 0.2592
Pm5 0.2592 0.7277 0.8527
Pm6 0.1385 0.4910 0.6147
Pm7 0.6147 0.1385 0.4910
Pm8 0.1473 0.7408 0.2723
Pm9 0.3853 0.8615 0.5090
Pm10 0.5090 0.3853 0.8615
Pm11 0.8615 0.5090 0.3853
Pm12 0.2723 0.1473 0.7408
Ho1 0.0000 0.0000 0.0000
Y1 0.0675 0.1499 0.3899
Y2 0.9325 0.8501 0.6101
Y3 0.6101 0.9325 0.8501
Y4 0.1499 0.3899 0.0675
Y5 0.5000 0.5000 0.5000
Y6 0.3899 0.0675 0.1499
Y7 0.8501 0.6101 0.9325

Computed properties:
The offset from the most stable computed form comes out at 0.0 meV per atom. As for the total energy: -5.12 eV per atom.



3.
Entry from the Alexandria database: crystalline Pm2YHo6 at its relaxed geometry (PBE).

Cell: 6.1815 11.7515 11.7515 Å, 96.48 60.69 60.69°
Sites, in units of the cell vectors:
Pm1 0.5000 0.1489 0.3512
Pm2 0.0000 0.3512 0.1489
Pm3 0.5000 0.8511 0.6488
Pm4 0.0000 0.6488 0.8511
Ho1 0.5311 0.5947 0.0948
Ho2 0.6810 0.9872 0.8342
Ho3 0.9689 0.9052 0.4053
Ho4 0.0311 0.0948 0.5947
Ho5 0.4689 0.4053 0.9052
Ho6 0.1810 0.8342 0.9872
Ho7 0.8190 0.1658 0.0128
Ho8 0.1812 0.4871 0.3343
Ho9 0.3190 0.0128 0.1658
Ho10 0.3188 0.6657 0.5129
Ho11 0.8188 0.5129 0.6657
Ho12 0.6812 0.3343 0.4871
Y1 0.2500 0.2500 0.7500
Y2 0.7500 0.7500 0.2500

Computed properties:
As for the total energy: -4.72 eV per atom.



4.
Entry from the Alexandria database: crystalline Pm2Y2Ho5 at its relaxed geometry (PBE).

Cell: 11.8059 6.7081 10.0834 Å, 109.43 125.83 90.00°
Sites, in units of the cell vectors:
Pm1 0.0000 0.0121 0.0000
Pm2 0.2596 0.3543 0.5000
Pm3 0.5000 0.5121 0.0000
Pm4 0.7404 0.8543 0.5000
Y1 0.3696 0.9303 0.7475
Y2 0.6304 0.1828 0.2525
Y3 0.1221 0.6828 0.2525
Y4 0.8779 0.4303 0.7475
Ho1 0.7958 0.7599 0.1049
Ho2 0.8091 0.2599 0.1049
Ho3 0.1909 0.1550 0.8951
Ho4 0.6226 0.7537 0.7151
Ho5 0.3774 0.0386 0.2849
Ho6 0.2042 0.6550 0.8951
Ho7 0.5925 0.2537 0.7151
Ho8 0.4075 0.5386 0.2849
Ho9 0.9987 0.1493 0.5000
Ho10 0.0013 0.6493 0.5000

Computed properties:
The offset from the most stable computed form comes out at 189.5 meV per atom. As for the total energy: -4.83 eV per atom.



5.
Entry from the Alexandria database: crystalline Pm3Y5Ho2 at its relaxed geometry (PBE).

Cell: 9.4016 9.3878 11.1318 Å, 124.43 124.46 70.10°
Sites, in units of the cell vectors:
Y1 0.1385 0.3868 0.2616
Y2 0.4727 0.7227 0.4453
Y3 0.0247 0.7747 0.5495
Y4 0.6230 0.8748 0.2616
Y5 0.3770 0.1252 0.7384
Y6 0.7262 0.4762 0.9524
Y7 0.9753 0.2253 0.4505
Y8 0.5273 0.2773 0.5547
Y9 0.2738 0.5238 0.0476
Y10 0.8615 0.6132 0.7384
Pm1 0.2709 0.5269 0.7509
Pm2 0.2296 0.9796 0.9593
Pm3 0.9800 0.2239 0.7508
Pm4 0.7291 0.4731 0.2491
Pm5 0.7704 0.0204 0.0407
Pm6 0.0200 0.7761 0.2492
Ho1 0.7723 0.0168 0.7433
Ho2 0.2277 0.9832 0.2567
Ho3 0.4710 0.7265 0.7433
Ho4 0.5290 0.2735 0.2567

Computed properties:
The offset from the most stable computed form comes out at 0.0 meV per atom. As for the total energy: -5.39 eV per atom.



6.
Entry from the Alexandria database: crystalline Pm3Y4Ho8 at its relaxed geometry (PBE).

Cell: 6.7642 9.2590 9.2590 Å, 87.38 111.37 111.37°
Sites, in units of the cell vectors:
Y1 0.0000 0.0000 0.0000
Y2 0.5000 0.0000 0.0000
Y3 0.0000 0.0000 0.5000
Y4 0.0000 0.5000 0.0000
Pm1 0.5000 0.0000 0.5000
Pm2 0.5000 0.5000 0.5000
Pm3 0.5000 0.5000 0.0000
Ho1 0.9887 0.7336 0.7336
Ho2 0.4624 0.7302 0.7302
Ho3 0.0000 0.6407 0.3593
Ho4 0.0000 0.3593 0.6407
Ho5 0.5376 0.2698 0.2698
Ho6 0.5000 0.7453 0.2547
Ho7 0.5000 0.2547 0.7453
Ho8 0.0113 0.2664 0.2664

Computed properties:
As for the total energy: -4.72 eV per atom.



7.
Entry from the Alexandria database: crystalline PmY5Ho5 at its relaxed geometry (PBE).

Cell: 5.9146 9.8916 6.9493 Å, 110.08 90.00 107.40°
Site moments in Bohr magnetons follow the coordinates.
Sites, in units of the cell vectors:
Y1 0.5000 0.0000 0.0000  0.21
Y2 0.8209 0.6417 0.0670  0.01
Y3 0.1791 0.3583 0.9330  0.01
Y4 0.8205 0.6409 0.5740  0.01
Y5 0.1795 0.3591 0.4260  0.01
Ho1 0.0000 0.0000 0.5000  0.03
Ho2 0.3310 0.6621 0.8286  0.04
Ho3 0.6237 0.2474 0.6265  0.02
Ho4 0.3763 0.7526 0.3735  0.02
Ho5 0.6690 0.3379 0.1714  0.04
Pm1 0.0000 0.0000 0.0000  0.18

Computed properties:
The offset from the most stable computed form comes out at 131.8 meV per atom. As for the total energy: -5.17 eV per atom.



8.
Entry from the Alexandria database: crystalline Pm2Y3Ho2 at its relaxed geometry (PBE).

Cell: 8.4655 8.4655 8.4655 Å, 109.47 109.47 109.47°
Sites, in units of the cell vectors:
Ho1 0.5000 0.4132 0.5000
Ho2 0.9132 0.5000 0.0000
Ho3 0.5868 0.0868 0.0868
Ho4 0.0000 0.0000 0.4132
Pm1 0.1897 0.6897 0.6897
Pm2 0.5000 0.8103 0.5000
Pm3 0.0000 0.0000 0.8103
Pm4 0.3103 0.5000 0.0000
Y1 0.8081 0.2500 0.5581
Y2 0.6919 0.7500 0.9419
Y3 0.2500 0.9419 0.1919
Y4 0.0581 0.3081 0.2500
Y5 0.7500 0.5581 0.3081
Y6 0.4419 0.1919 0.7500

Computed properties:
The offset from the most stable computed form comes out at 98.3 meV per atom. As for the total energy: -5.21 eV per atom.



9.
Entry from the Alexandria database: crystalline PmY8Ho4 at its relaxed geometry (PBE).

Cell: 7.3052 7.3053 10.0122 Å, 90.00 111.39 120.00°
Sites, in units of the cell vectors:
Ho1 0.5000 0.5000 0.0000
Ho2 0.5000 0.0000 0.0000
Ho3 0.0000 0.5000 0.0000
Ho4 0.0000 0.0000 0.0000
Y1 0.5006 0.2503 0.3035
Y2 0.4352 0.2176 0.6528
Y3 0.9468 0.1971 0.6965
Y4 0.5648 0.7824 0.3472
Y5 0.9468 0.7497 0.6965
Y6 0.0532 0.8029 0.3035
Y7 0.0532 0.2503 0.3035
Y8 0.4994 0.7497 0.6965
Pm1 0.0000 0.5000 0.5000

Computed properties:
As for the total energy: -5.55 eV per atom.



10.
Entry from the Alexandria database: crystalline Pm6YHo at its relaxed geometry (PBE).

Cell: 5.1268 5.1268 10.2550 Å, 90.00 90.00 90.00°
Sites, in units of the cell vectors:
Ho1 0.0000 0.0000 0.5000
Pm1 0.5000 0.5000 0.0000
Pm2 0.5000 0.5000 0.5000
Pm3 0.0000 0.5000 0.2510
Pm4 0.5000 0.0000 0.2510
Pm5 0.5000 0.0000 0.7490
Pm6 0.0000 0.5000 0.7490
Y1 0.0000 0.0000 0.0000

Computed properties:
The offset from the most stable computed form comes out at 0.0 meV per atom. As for the total energy: -4.93 eV per atom.



11.
Entry from the Alexandria database: crystalline Pm3Y5Ho at its relaxed geometry (PBE).

Cell: 8.7586 8.7586 9.9234 Å, 116.19 116.19 90.00°
Sites, in units of the cell vectors:
Pm1 0.6162 0.1162 0.0000
Pm2 0.2500 0.2500 0.5000
Pm3 0.1162 0.3838 0.0000
Pm4 0.3838 0.8838 0.0000
Pm5 0.8838 0.6162 0.0000
Pm6 0.7500 0.7500 0.5000
Ho1 0.7500 0.2500 0.5000
Ho2 0.2500 0.7500 0.5000
Y1 0.0000 0.0000 0.0000
Y2 0.3461 0.8461 0.2741
Y3 0.5000 0.5000 0.0000
Y4 0.9281 0.4281 0.2741
Y5 0.4281 0.3461 0.2741
Y6 0.5719 0.6539 0.7259
Y7 0.0719 0.5719 0.7259
Y8 0.1539 0.0719 0.7259
Y9 0.6539 0.1539 0.7259
Y10 0.8461 0.9281 0.2741

Computed properties:
As for the total energy: -5.43 eV per atom.



12.
Entry from the Alexandria database: crystalline Pm8YHo3 at its relaxed geometry (PBE).

Cell: 7.2464 10.1974 9.5435 Å, 143.23 100.99 90.00°
Sites, in units of the cell vectors:
Ho1 0.5000 0.0001 0.0000
Ho2 0.0000 0.5000 0.0000
Ho3 0.5000 0.5000 0.0000
Pm1 0.8327 0.9986 0.3321
Pm2 0.8325 0.4992 0.3315
Pm3 0.1675 0.5008 0.6685
Pm4 0.3335 0.9987 0.3323
Pm5 0.6664 0.0013 0.6677
Pm6 0.1672 0.0014 0.6680
Pm7 0.6663 0.4995 0.6667
Pm8 0.3338 0.5006 0.3333
Y1 0.0000 0.0000 0.0000

Computed properties:
As for the total energy: -4.84 eV per atom.



13.
Entry from the Alexandria database: crystalline Pm4Y6Ho19 at its relaxed geometry (PBE).

Cell: 10.7870 10.7871 10.7870 Å, 109.47 109.47 109.47°
Site moments in Bohr magnetons follow the coordinates.
Sites, in units of the cell vectors:
Ho1 0.7398 0.0000 0.7398  0.09
Ho2 0.0000 0.2602 0.2602  0.09
Ho3 0.4637 0.6773 0.6605  0.00
Ho4 0.6605 0.4637 0.6773  0.00
Ho5 0.7398 0.7398 0.0000  0.09
Ho6 0.7864 0.9832 0.3227  0.00
Ho7 0.2602 0.2602 0.0000  0.09
Ho8 0.3227 0.7864 0.9832  0.00
Ho9 0.6773 0.6605 0.4637  0.00
Ho10 0.0000 0.0000 0.0000  0.07
Ho11 0.2602 0.0000 0.2602  0.09
Ho12 0.9832 0.3227 0.7864  0.00
Ho13 0.5363 0.1969 0.2136  0.00
Ho14 0.1969 0.2136 0.5363  0.00
Ho15 0.3395 0.0168 0.8031  0.00
Ho16 0.0000 0.7398 0.7398  0.09
Ho17 0.8031 0.3395 0.0168  0.00
Ho18 0.0168 0.8031 0.3395  0.00
Ho19 0.2136 0.5363 0.1969  0.00
Pm1 0.0000 0.6400 0.0000  0.03
Pm2 0.0000 0.0000 0.6400  0.03
Pm3 0.3600 0.3600 0.3600  0.03
Pm4 0.6400 0.0000 0.0000  0.03
Y1 0.1290 0.6290 0.5000  0.11
Y2 0.5000 0.1290 0.6290  0.11
Y3 0.8710 0.3710 0.5000  0.11
Y4 0.3710 0.5000 0.8710  0.11
Y5 0.5000 0.8710 0.3710  0.11
Y6 0.6290 0.5000 0.1290  0.11

Computed properties:
As for the total energy: -4.60 eV per atom.



14.
Entry from the Alexandria database: crystalline Pm4Y5Ho2 at its relaxed geometry (PBE).

Cell: 3.5923 5.6120 19.9338 Å, 65.01 95.17 90.00°
Sites, in units of the cell vectors:
Y1 0.2222 0.8331 0.4443
Y2 0.7778 0.1669 0.5557
Y3 0.5000 0.0000 0.0000
Y4 0.0968 0.7088 0.1937
Y5 0.9032 0.2912 0.8063
Pm1 0.0442 0.3669 0.0884
Pm2 0.9558 0.6331 0.9116
Pm3 0.6831 0.4501 0.3662
Pm4 0.3169 0.5499 0.6338
Ho1 0.6308 0.1069 0.2616
Ho2 0.3692 0.8931 0.7384

Computed properties:
The offset from the most stable computed form comes out at 0.0 meV per atom. As for the total energy: -5.46 eV per atom.



15.
Entry from the Alexandria database: crystalline Pm2Y4Ho7 at its relaxed geometry (PBE).

Cell: 6.0687 6.0687 13.3176 Å, 90.00 90.00 120.00°
Sites, in units of the cell vectors:
Ho1 0.0000 0.6458 0.7845
Ho2 0.0000 0.0000 0.0000
Ho3 0.3543 0.3542 0.7845
Ho4 0.3542 0.0000 0.2155
Ho5 0.0000 0.3542 0.2155
Ho6 0.6457 0.6458 0.2155
Ho7 0.6458 0.0000 0.7845
Y1 0.0000 0.0000 0.6056
Y2 0.3333 0.6667 0.5000
Y3 0.6667 0.3333 0.5000
Y4 0.0000 0.0000 0.3944
Pm1 0.6667 0.3333 0.0000
Pm2 0.3333 0.6667 0.0000

Computed properties:
As for the total energy: -5.01 eV per atom.



16.
Entry from the Alexandria database: crystalline Pm4YHo at its relaxed geometry (PBE).

Cell: 6.6576 6.6576 6.6576 Å, 60.00 60.00 60.00°
Sites, in units of the cell vectors:
Pm1 0.6250 0.1250 0.6250
Pm2 0.1250 0.6250 0.6250
Pm3 0.6250 0.6250 0.1250
Pm4 0.6250 0.6250 0.6250
Y1 0.0000 0.0000 0.0000
Ho1 0.2500 0.2500 0.2500

Computed properties:
The offset from the most stable computed form comes out at 140.4 meV per atom. As for the total energy: -4.76 eV per atom.



17.
Entry from the Alexandria database: crystalline Pm12YHo7 at its relaxed geometry (PBE).

Cell: 8.8180 8.8180 8.8180 Å, 94.28 94.28 94.28°
Sites, in units of the cell vectors:
Pm1 0.5889 0.5242 0.8545
Pm2 0.6833 0.8163 0.2497
Pm3 0.3167 0.1837 0.7503
Pm4 0.8545 0.5889 0.5242
Pm5 0.1837 0.7503 0.3167
Pm6 0.2497 0.6833 0.8163
Pm7 0.5242 0.8545 0.5889
Pm8 0.8163 0.2497 0.6833
Pm9 0.7503 0.3167 0.1837
Pm10 0.4758 0.1455 0.4111
Pm11 0.4111 0.4758 0.1455
Pm12 0.1455 0.4111 0.4758
Ho1 0.0823 0.3483 0.0186
Ho2 0.5000 0.5000 0.5000
Ho3 0.9814 0.9177 0.6517
Ho4 0.9177 0.6517 0.9814
Ho5 0.6517 0.9814 0.9177
Ho6 0.3483 0.0186 0.0823
Ho7 0.0186 0.0823 0.3483
Y1 0.0000 0.0000 0.0000

Computed properties:
The offset from the most stable computed form comes out at 31.4 meV per atom. As for the total energy: -4.50 eV per atom.



18.
Entry from the Alexandria database: crystalline Pm3Y4Ho2 at its relaxed geometry (PBE).

Cell: 6.0978 11.3167 11.3167 Å, 62.03 63.27 63.27°
Sites, in units of the cell vectors:
Ho1 0.5848 0.7547 0.4790
Ho2 0.9152 0.5210 0.2453
Ho3 0.0848 0.4790 0.7547
Ho4 0.4152 0.2453 0.5210
Pm1 0.7533 0.7293 0.9366
Pm2 0.2467 0.2707 0.0634
Pm3 0.7500 0.4007 0.5993
Pm4 0.7467 0.0634 0.2707
Pm5 0.2533 0.9366 0.7293
Pm6 0.2500 0.5993 0.4007
Y1 0.0808 0.8149 0.0880
Y2 0.4258 0.5810 0.8464
Y3 0.5742 0.4190 0.1536
Y4 0.0742 0.1536 0.4190
Y5 0.4192 0.9120 0.1851
Y6 0.9258 0.8464 0.5810
Y7 0.5808 0.0880 0.8149
Y8 0.9192 0.1851 0.9120

Computed properties:
The offset from the most stable computed form comes out at 81.2 meV per atom. As for the total energy: -5.37 eV per atom.



| no. | DFT formation energy (meV/atom) | DOS(E_F) (states/eV/cell) |
| --- | --- | --- |
| 1 | 93 | 25.776 |
| 2 | 218 | 39.900 |
| 3 | 110 | 25.847 |
| 4 | 210 | 28.291 |
| 5 | 187 | 38.240 |
| 6 | 391 | 30.291 |
| 7 | 280 | 18.146 |
| 8 | 230 | 18.397 |
| 9 | 206 | 15.859 |
| 10 | 16 | 12.843 |
| 11 | 254 | 21.724 |
| 12 | 13 | 15.425 |
| 13 | 391 | 43.303 |
| 14 | 35 | 19.068 |
| 15 | 175 | 17.638 |
| 16 | 247 | 10.222 |
| 17 | 279 | 23.330 |
| 18 | 99 | 27.625 |